Crystalline Sr2TiW at its relaxed geometry. Source: Alexandria, functional PBE.

Values from the calculation:
* polymorph energy (0 for the lowest one): 0 meV per atom
* ΔE_f: 1.468 eV per atom
* energy: -18.3 eV/cell
* density: 5963 kg/m³
* symmetry: Fm-3m, No. 225
* magnetization: 4.1 μB per cell

Cell: 5.432 5.432 5.432 Å, 60.00 60.00 60.00°
Atoms (fractional coordinates):
Sr: 0.250 0.250 0.250
Sr: 0.750 0.750 0.750
Ti: 0.000 0.000 0.000
W: 0.500 0.500 0.500

***

Crystalline AlNi2Rh at its relaxed geometry. Source: Alexandria, functional PBE.

Values from the calculation:
* ΔE_f: -0.042 eV per atom
* energy: -45.6 eV/cell
* density: 7626 kg/m³
* symmetry: I-42d, No. 122
* magnetization: 0.0 μB per cell

Cell: 9.141 9.141 9.141 Å, 157.94 157.94 31.40°
Atoms (fractional coordinates):
Al: 0.000 0.000 0.000
Al: 0.750 0.250 0.500
Ni: 0.121 0.625 0.996
Ni: 0.375 0.371 0.496
Ni: 0.629 0.125 0.004
Ni: 0.875 0.879 0.504
Rh: 0.250 0.750 0.500
Rh: 0.500 0.500 0.000

***

Crystalline Tb2MgS at its relaxed geometry. Source: Alexandria, functional PBE.

Values from the calculation:
* polymorph energy (0 for the lowest one): 0 meV per atom
* energy: -18.7 eV/cell
* density: 5864 kg/m³
* symmetry: R3m, No. 160
* energy relative to the elements, uncorrected: -0.935 eV/atom
* magnetization: 0.0 μB per cell

Cell: 8.843 8.843 8.843 Å, 24.67 24.67 24.67°
Atoms (fractional coordinates):
Tb: 0.000 0.000 0.000
Tb: 0.207 0.207 0.207
Mg: 0.437 0.437 0.437
S: 0.604 0.604 0.604

***

Crystalline La2Tb6NdTm at its relaxed geometry. Source: Alexandria, functional PBE.

Values from the calculation:
* ΔE_f: 0.116 eV per atom
* energy: -91.4 eV/cell
* density: 7680 kg/m³
* symmetry: C2/c, No. 15
* magnetization: 0.0 μB per cell

Cell: 8.794 8.794 9.907 Å, 95.11 95.11 117.75°
Atoms (fractional coordinates):
La: 0.195 0.291 0.043
La: 0.291 0.195 0.543
La: 0.709 0.805 0.457
La: 0.805 0.709 0.957
Tb: 0.019 0.577 0.189
Tb: 0.120 0.735 0.557
Tb: 0.265 0.880 0.943
Tb: 0.299 0.510 0.381
Tb: 0.423 0.981 0.311
Tb: 0.490 0.701 0.119
Tb: 0.510 0.299 0.881
Tb: 0.577 0.019 0.689
Tb: 0.701 0.490 0.619
Tb: 0.735 0.120 0.057
Tb: 0.880 0.265 0.443
Tb: 0.981 0.423 0.811
Nd: 0.013 0.987 0.250
Nd: 0.987 0.013 0.750
Tm: 0.405 0.595 0.750
Tm: 0.595 0.405 0.250